No. 1
A plane-wave DFT calculation with PBE was carried out for an optimized crystal structure of HoEr4Tm3. Values from VASP.

Quantum ESPRESSO input file:
```
&SYSTEM
  ibrav = 0, nat = 16, ntyp = 3
/
ATOMIC_SPECIES
Er 167.26 Er.upf
Tm 168.93 Tm.upf
Ho 164.93 Ho.upf
CELL_PARAMETERS angstrom
-0.0979 -4.6703 -4.0500
1.7462 -4.5650 5.2220
-10.7145 -1.6395 2.1496
ATOMIC_POSITIONS angstrom
Er 0.1554 -3.5980 -1.9695
Er -3.8444 -5.5033 5.0434
Tm -4.7159 -3.2244 2.4374
Tm -1.6839 -7.8440 -0.1743
Er -5.2015 -4.4149 -0.8908
Tm -7.4276 -5.1903 1.6233
Ho 0.6408 -2.4035 1.3608
Er -6.5609 -7.4705 4.2327
Tm -7.0411 -8.6638 0.9005
Er 1.5127 -4.6793 3.9709
Er -1.1929 -6.6491 3.1558
Tm -2.0703 -4.3705 0.5485
Ho -4.3297 -6.6974 1.7135
Tm 1.0270 -5.8760 0.6373
Er -2.5613 -5.5646 -2.7809
Er -7.9078 -6.3827 -1.7082
```

Values from the calculation:
**D(E_F)**: 1.625 states/eV/atom
**Energy above the most stable polymorph in this dataset**: 0 meV per atom
**ΔH_f (0 K)**: -0.07 kcal/mol of atoms
**Symmetry**: Pmn2_1 (31)

No. 2
A plane-wave DFT calculation with PBE was carried out for an optimized crystal structure of TaTl2PO6. Values from VASP.

Quantum ESPRESSO input file:
```
&SYSTEM
  ibrav = 0, nat = 10, ntyp = 4
/
ATOMIC_SPECIES
O 16.00 O.upf
Tl 204.38 Tl.upf
P 30.97 P.upf
Ta 180.95 Ta.upf
CELL_PARAMETERS angstrom
-0.2243 -3.9691 -3.2596
3.2390 -2.4006 2.6763
-1.5995 -6.4787 3.9865
ATOMIC_POSITIONS angstrom
O -0.4390 -5.5774 2.7029
O 2.0686 -3.2199 1.2304
O -0.6535 -9.6284 2.1729
Tl -0.4613 -6.9264 0.3790
O -0.3816 -8.0787 3.8351
P 1.5073 -3.1848 -0.2916
O 1.7967 -4.7696 -0.4319
O 1.8541 -7.2709 0.7003
Ta 0.0000 0.0000 0.0000
Tl 1.8765 -5.9219 3.0242
```

Values from the calculation:
**D(E_F)**: 0.000 states/eV/atom
**Calculated total energy**: -68.1 eV/cell
**Symmetry**: P-1 (2)

No. 3
A plane-wave DFT calculation with PBE was carried out for an optimized crystal structure of UTeN. Values from VASP.

Quantum ESPRESSO input file:
```
&SYSTEM
  ibrav = 0, nat = 6, ntyp = 3
/
ATOMIC_SPECIES
N 14.01 N.upf
Te 127.60 Te.upf
U 238.03 U.upf
CELL_PARAMETERS angstrom
-3.4657 0.5828 1.5987
-0.1374 -3.7114 1.0551
3.7038 1.9439 7.3203
ATOMIC_POSITIONS angstrom
N -1.8015 -1.5643 1.3269
Te -0.4691 0.9547 3.2971
U 1.4600 1.9672 7.1099
N 0.0000 0.0000 0.0000
Te 2.3713 -0.5751 5.3501
U 0.4422 -1.5875 1.5373
```

Values from the calculation:
**D(E_F)**: 1.486 states/eV/atom
**Energy above the most stable polymorph in this dataset**: 0 meV per atom
**Symmetry**: P4/nmm (129)

No. 4
A plane-wave DFT calculation with PBE was carried out for an optimized crystal structure of CrGeMo3. Values from VASP.

Quantum ESPRESSO input file:
```
&SYSTEM
  ibrav = 0, nat = 5, ntyp = 3
/
ATOMIC_SPECIES
Ge 72.64 Ge.upf
Mo 95.94 Mo.upf
Cr 52.00 Cr.upf
CELL_PARAMETERS angstrom
-1.1291 2.0011 3.8519
0.0274 -3.9767 2.0740
4.3406 0.5456 0.9889
ATOMIC_POSITIONS angstrom
Ge 1.6194 -0.7150 3.4574
Mo 0.0137 -1.9883 1.0370
Mo -0.5646 1.0006 1.9259
Cr 0.0000 0.0000 0.0000
Mo 2.1703 0.2728 0.4945
```

Values from the calculation:
**D(E_F)**: 1.218 states/eV/atom
**Energy above the most stable polymorph in this dataset**: 0 meV per atom
**ΔH_f (0 K)**: 27.94 kcal/mol of atoms
**Symmetry**: Pm-3m (221)

No. 5
A plane-wave DFT calculation with PBE was carried out for an optimized crystal structure of Ac5OsI5. Values from VASP.

Quantum ESPRESSO input file:
```
&SYSTEM
  ibrav = 0, nat = 11, ntyp = 3
/
ATOMIC_SPECIES
I 126.90 I.upf
Ac 227.00 Ac.upf
Os 190.23 Os.upf
CELL_PARAMETERS angstrom
-3.8782 0.8297 5.2307
5.5625 -5.4659 0.8724
4.2200 8.8428 1.7261
ATOMIC_POSITIONS angstrom
I 2.1100 4.4214 0.8630
Ac -1.9391 0.4149 2.6153
Ac 1.0320 -1.9083 5.1867
I 0.9031 1.7876 4.5049
I 5.0012 2.4190 3.3243
Ac 3.7251 3.1878 6.3750
I 2.2148 5.8309 4.8360
Ac 2.1792 1.0188 1.4541
Ac 4.8723 6.1149 2.6425
Os 0.0000 0.0000 0.0000
I 3.6895 -1.6243 2.9931
```

Values from the calculation:
**D(E_F)**: 0.726 states/eV/atom
**Calculated total energy**: -49.7 eV/cell
**Symmetry**: C2/m (12)

No. 6
A plane-wave DFT calculation with PBE was carried out for an optimized crystal structure of LiTbScRh. Values from VASP.

Quantum ESPRESSO input file:
```
&SYSTEM
  ibrav = 0, nat = 4, ntyp = 4
/
ATOMIC_SPECIES
Rh 102.91 Rh.upf
Li 6.94 Li.upf
Tb 158.93 Tb.upf
Sc 44.96 Sc.upf
CELL_PARAMETERS angstrom
4.8013 0.0000 0.0000
2.4007 4.1581 0.0000
2.4007 1.3860 3.9203
ATOMIC_POSITIONS angstrom
Rh 4.8013 2.7721 1.9601
Li 0.0000 0.0000 0.0000
Tb 7.2020 4.1581 2.9402
Sc 2.4007 1.3860 0.9801
```

Values from the calculation:
**D(E_F)**: 0.686 states/eV/atom
**ΔH_f (0 K)**: -11.24 kcal/mol of atoms
**Symmetry**: F-43m (216)

No. 7
A plane-wave DFT calculation with PBE was carried out for an optimized crystal structure of NaSn2Br8. Values from VASP.

Quantum ESPRESSO input file:
```
&SYSTEM
  ibrav = 0, nat = 11, ntyp = 3
/
ATOMIC_SPECIES
Br 79.90 Br.upf
Sn 118.71 Sn.upf
Na 22.99 Na.upf
CELL_PARAMETERS angstrom
6.9300 0.5145 0.3904
0.7114 8.6264 -0.1699
0.7114 2.1591 8.3535
ATOMIC_POSITIONS angstrom
Br 5.9661 2.6036 6.2037
Br 2.3867 4.6244 7.7370
Br 1.4754 4.2886 3.2540
Br 2.3867 8.6965 2.3703
Br 5.9661 6.6756 0.8370
Sn 2.4790 2.4141 1.8317
Br 3.2971 8.8135 6.6873
Sn 5.8739 8.8859 6.7423
Br 5.0557 2.4865 1.8867
Br 6.8774 7.0114 5.3200
Na 0.0000 0.0000 0.0000
```

Values from the calculation:
**D(E_F)**: 0.550 states/eV/atom
**Energy above the most stable polymorph in this dataset**: 0 meV per atom
**Symmetry**: C2/m (12)

No. 8
A plane-wave DFT calculation with PBE was carried out for an optimized crystal structure of CaGa2Hg. Values from VASP.

Quantum ESPRESSO input file:
```
&SYSTEM
  ibrav = 0, nat = 8, ntyp = 3
/
ATOMIC_SPECIES
Ga 69.72 Ga.upf
Hg 200.59 Hg.upf
Ca 40.08 Ca.upf
CELL_PARAMETERS angstrom
-3.0936 -3.3287 0.6991
3.0873 -3.1447 -1.3112
3.0874 -4.1304 9.1142
ATOMIC_POSITIONS angstrom
Ga -1.1393 -3.8973 2.6338
Hg -0.0047 -5.3479 4.7537
Ca -0.0032 -3.2367 -0.3060
Ga 2.6783 -3.0229 1.4643
Hg 0.0000 0.0000 0.0000
Ga 2.6728 -9.1316 6.1460
Ca 3.0858 -5.2559 3.7485
Ga 1.9504 -5.1558 6.7602
```

Values from the calculation:
**D(E_F)**: 0.463 states/eV/atom
**ΔH_f (0 K)**: -3.28 kcal/mol of atoms
**Symmetry**: I-42d (122)

no.,total moment (μB/f.u.)
1,0.000
2,0.000
3,1.006
4,0.000
5,0.000
6,0.000
7,0.000
8,0.000